# 1
Material: TmTh2Pd
Method: DFT, PBE
State: relaxed

Output
ΔH_f (0 K), eV/atom: -0.27

a b c (Å): 3.6613 3.6613 8.3189
angles (deg): 90.00 90.00 90.00
Last column: nearest neighbours and their distance in Å.
Positions (direct):
1 Tm 0.5000 0.5000 0.5000  8 Th 3.53, 4 Tm 3.66
2 Pd 0.5000 0.5000 0.0000  8 Th 3.13
3 Th 0.0000 0.0000 0.2118  4 Pd 3.13
4 Th 0.0000 0.0000 0.7882  4 Pd 3.13



# 2
Material: Tm2ThPd
Method: DFT, PBE
State: relaxed

Output
ΔH_f (0 K), eV/atom: -0.29

a b c (Å): 3.5978 3.5978 9.9311
angles (deg): 79.56 79.56 60.00
Last column: nearest neighbours and their distance in Å.
Positions (direct):
1 Pd 0.0000 0.0000 0.0000  6 Tm 2.84
2 Tm 0.2666 0.2666 0.2001  3 Pd 2.84
3 Tm 0.7334 0.7334 0.7999  3 Pd 2.84
4 Th 0.5000 0.5000 0.5000  6 Tm 3.58, 6 Th 3.60



# 3
Material: TmThPd2
Method: DFT, PBE
State: relaxed

Output
ΔH_f (0 K), eV/atom: -0.86

a b c (Å): 3.7591 4.6308 5.6624
angles (deg): 90.00 109.39 90.00
Last column: nearest neighbours and their distance in Å.
Positions (direct):
1 Pd 0.1703 0.5000 0.8794  3 Tm 2.95-3.05, 2 Pd 2.98, 4 Th 3.03
2 Pd 0.9938 0.0000 0.5271  3 Th 2.92-3.07, 2 Pd 2.98, 4 Tm 3.03
3 Tm 0.4461 0.5000 0.4309  7 Pd 2.95-3.05
4 Th 0.7208 0.0000 0.9807  7 Pd 2.92-3.07



# 4
Material: TmTh3Pd12
Method: DFT, PBE
State: relaxed

Output
ΔH_f (0 K), eV/atom: -0.96

a b c (Å): 4.1876 4.1876 16.7631
angles (deg): 90.00 90.00 90.00
Last column: nearest neighbours and their distance in Å.
Positions (direct):
1 Pd 0.5000 0.0000 0.8782  8 Pd 2.92-2.98, 2 Tm 2.92, 2 Th 2.93
2 Pd 0.5000 0.5000 0.2486  4 Th 2.96, 8 Pd 2.96-2.98
3 Pd 0.5000 0.5000 0.7514  4 Th 2.96, 8 Pd 2.96-2.98
4 Pd 0.0000 0.5000 0.3737  8 Pd 2.96-2.98, 4 Th 2.98-3.02
5 Pd 0.5000 0.0000 0.6263  8 Pd 2.96-2.98, 4 Th 2.98-3.02
6 Pd 0.5000 0.5000 0.0000  8 Pd 2.92, 4 Tm 2.96
7 Pd 0.0000 0.5000 0.8782  2 Tm 2.92, 8 Pd 2.92-2.98, 2 Th 2.93
8 Pd 0.5000 0.5000 0.5000  4 Th 2.96, 8 Pd 2.98
9 Pd 0.0000 0.5000 0.1218  2 Tm 2.92, 8 Pd 2.92-2.98, 2 Th 2.93
10 Pd 0.5000 0.0000 0.1218  2 Tm 2.92, 8 Pd 2.92-2.98, 2 Th 2.93
11 Pd 0.0000 0.5000 0.6263  8 Pd 2.96-2.98, 4 Th 2.98-3.02
12 Pd 0.5000 0.0000 0.3737  8 Pd 2.96-2.98, 4 Th 2.98-3.02
13 Th 0.0000 0.0000 0.7562  12 Pd 2.93-3.02
14 Th 0.0000 0.0000 0.2438  12 Pd 2.93-3.02
15 Th 0.0000 0.0000 0.5000  12 Pd 2.96-2.98
16 Tm 0.0000 0.0000 0.0000  12 Pd 2.92-2.96



# 5
Material: TmThPd
Method: DFT, PBE
State: relaxed

Output
ΔH_f (0 K), eV/atom: -0.32

a b c (Å): 4.9370 4.9370 4.9370
angles (deg): 60.00 60.00 60.00
Last column: nearest neighbours and their distance in Å.
Positions (direct):
1 Th 0.5000 0.5000 0.5000  4 Pd 3.02
2 Pd 0.2500 0.2500 0.2500  4 Tm 3.02, 4 Th 3.02
3 Tm 0.0000 0.0000 0.0000  4 Pd 3.02



# 6
Material: TmThPd4
Method: DFT, PBE
State: relaxed

Output
ΔH_f (0 K), eV/atom: -0.77

a b c (Å): 5.4837 5.4837 5.4837
angles (deg): 60.00 60.00 60.00
Last column: nearest neighbours and their distance in Å.
Positions (direct):
1 Pd 0.6246 0.6246 0.6246  6 Pd 2.73-2.75
2 Pd 0.6246 0.1263 0.6246  6 Pd 2.73-2.75
3 Pd 0.1263 0.6246 0.6246  6 Pd 2.73-2.75
4 Pd 0.6246 0.6246 0.1263  6 Pd 2.73-2.75
5 Tm 0.2500 0.2500 0.2500  12 Pd 3.21, 4 Th 3.36
6 Th 0.0000 0.0000 0.0000  12 Pd 3.22, 4 Tm 3.36



# 7
Material: TmThPd4
Method: DFT, PBE
State: relaxed

Output
ΔH_f (0 K), eV/atom: -0.91

a b c (Å): 4.2055 5.8132 10.1705
angles (deg): 90.00 101.93 90.00
Last column: nearest neighbours and their distance in Å.
Positions (direct):
1 Pd 0.5736 0.2500 0.1472  3 Th 2.91-3.07, 8 Pd 2.94-2.95, 1 Tm 3.02
2 Pd 0.8503 0.5123 0.7006  5 Pd 2.76-3.05, 3 Tm 2.92-2.93, 2 Th 2.94
3 Pd 0.1497 0.4877 0.2994  5 Pd 2.76-3.05, 3 Tm 2.92-2.93, 2 Th 2.94
4 Pd 0.1497 0.0123 0.2994  5 Pd 2.76-3.05, 3 Tm 2.92-2.93, 2 Th 2.94
5 Pd 0.0000 0.5000 0.0000  8 Pd 2.91-2.98, 4 Th 3.02
6 Pd 0.0000 0.0000 0.0000  8 Pd 2.91-2.98, 4 Th 3.02
7 Pd 0.4264 0.7500 0.8528  3 Th 2.91-3.07, 8 Pd 2.94-2.95, 1 Tm 3.02
8 Pd 0.8503 0.9877 0.7006  5 Pd 2.76-3.05, 3 Tm 2.92-2.93, 2 Th 2.94
9 Tm 0.7252 0.2500 0.4504  7 Pd 2.92-3.02
10 Tm 0.2748 0.7500 0.5496  7 Pd 2.92-3.02
11 Th 0.5808 0.7500 0.1615  11 Pd 2.91-3.07
12 Th 0.4192 0.2500 0.8385  11 Pd 2.91-3.07



# 8
Material: TmThPd
Method: DFT, PBE
State: relaxed

Output
ΔH_f (0 K), eV/atom: -0.49

a b c (Å): 4.7984 6.4358 6.1361
angles (deg): 66.38 66.98 68.06
Last column: nearest neighbours and their distance in Å.
Positions (direct):
1 Th 0.4330 0.3233 0.8097  3 Pd 3.00-3.06
2 Th 0.5670 0.6767 0.1903  3 Pd 3.00-3.06
3 Tm 0.1752 0.9209 0.7287  3 Pd 2.84-2.96
4 Tm 0.8248 0.0791 0.2713  3 Pd 2.84-2.96
5 Pd 0.1601 0.3465 0.3336  3 Tm 2.84-2.96, 1 Pd 2.99, 3 Th 3.00-3.06
6 Pd 0.8399 0.6535 0.6664  3 Tm 2.84-2.96, 1 Pd 2.99, 3 Th 3.00-3.06